Entry from Alexandria: a geometry-optimized CdHg2HPd structure (PBE-GGA).

The final energy comes out at -9.7 eV for the cell shown. The calculation puts the energy relative to the lowest polymorph listed for this composition at 0.00 kJ per mole of atoms. The value obtained for the total magnetization is 0.00 μB per cell.

Unit cell a=5.4344 b=5.4344 c=3.4235 alpha=90.00 beta=90.00 gamma=90.00
Fractional positions:
H1 0.0000 0.0000 0.5000
Hg1 0.0000 0.5000 0.0000
Hg2 0.5000 0.0000 0.0000
Pd1 0.0000 0.0000 0.0000
Cd1 0.5000 0.5000 0.5000